This record from Alexandria via LeMat-Bulk describes a relaxed LuScFeAg crystal. The functional is GGA-PBE.

Geometry as CIF:
```
data_LuScFeAg
_chemical_formula_sum 'Lu4 Sc4 Fe4 Ag4'
_cell_length_a 6.684
_cell_length_b 6.684
_cell_length_c 6.684
_cell_angle_alpha 90.00
_cell_angle_beta 90.00
_cell_angle_gamma 90.00
_symmetry_space_group_name_H-M 'F -4 3 m'
_symmetry_Int_Tables_number 216
_symmetry_space_group_name_Hall 'F -4 2 3'
loop_
_atom_site_label
_atom_site_type_symbol
_atom_site_fract_x
_atom_site_fract_y
_atom_site_fract_z
Lu1 Lu 0.000 0.000 0.000
Sc1 Sc 0.000 0.000 0.500
Fe1 Fe 0.250 0.250 0.250
Ag1 Ag 0.250 0.250 0.750
```

* calculated total energy: -89.93 eV for the cell shown
* ΔE_f: -79 meV/atom
* theoretical density: 8.5 Mg/m³

This record from Alexandria via LeMat-Bulk describes a relaxed LiIr2Au crystal. The functional is GGA-PBE.

Geometry as CIF:
```
data_LiIr2Au
_chemical_formula_sum 'Li2 Ir4 Au2'
_cell_length_a 2.858
_cell_length_b 4.634
_cell_length_c 9.130
_cell_angle_alpha 90.00
_cell_angle_beta 90.00
_cell_angle_gamma 90.00
_symmetry_space_group_name_H-M 'I m m 2'
_symmetry_Int_Tables_number 44
_symmetry_space_group_name_Hall 'I 2 -2'
loop_
_atom_site_label
_atom_site_type_symbol
_atom_site_fract_x
_atom_site_fract_y
_atom_site_fract_z
Li1 Li 0.000 0.000 0.000
Ir1 Ir 0.000 0.000 0.511
Ir2 Ir 0.000 0.500 0.245
Au1 Au 0.000 0.500 0.748
```

* polymorph energy (0 for the lowest one): 246 meV/atom
* calculated total energy: -44.26 eV for the cell shown
* ΔE_f: 196 meV/atom
* theoretical density: 16.2 Mg/m³

This record from Alexandria via LeMat-Bulk describes a relaxed PrPuZr2 crystal. The functional is GGA-PBE.

Geometry as CIF:
```
data_PrPuZr2
_chemical_formula_sum 'Pr1 Pu1 Zr2'
_cell_length_a 3.827
_cell_length_b 3.827
_cell_length_c 7.267
_cell_angle_alpha 90.00
_cell_angle_beta 90.00
_cell_angle_gamma 90.00
_symmetry_space_group_name_H-M 'P 4/m m m'
_symmetry_Int_Tables_number 123
_symmetry_space_group_name_Hall '-P 4 2'
loop_
_atom_site_label
_atom_site_type_symbol
_atom_site_fract_x
_atom_site_fract_y
_atom_site_fract_z
Pr1 Pr 0.000 0.000 0.000
Pu1 Pu 0.000 0.000 0.500
Zr1 Zr 0.500 0.500 0.292
```

* calculated total energy: -35.36 eV for the cell shown
* ΔE_f: 213 meV/atom
* theoretical density: 8.9 Mg/m³

This record from Alexandria via LeMat-Bulk describes a relaxed Ba2CuSi3Au12 crystal. The functional is GGA-PBE.

Geometry as CIF:
```
data_Ba2CuSi3Au12
_chemical_formula_sum 'Ba6 Cu3 Si9 Au36'
_cell_length_a 8.9233
_cell_length_b 8.9233
_cell_length_c 19.8315
_cell_angle_alpha 90.00
_cell_angle_beta 90.00
_cell_angle_gamma 120.00
_symmetry_space_group_name_H-M 'R -3 m'
_symmetry_Int_Tables_number 166
_symmetry_space_group_name_Hall '-R 3 2"'
loop_
_atom_site_label
_atom_site_type_symbol
_atom_site_fract_x
_atom_site_fract_y
_atom_site_fract_z
Ba1 Ba 0.0000 0.0000 0.1153
Cu1 Cu 0.0000 0.0000 0.5000
Si1 Si 0.0000 0.5000 0.0000
Au1 Au 0.0286 0.5143 0.1214
Au2 Au 0.0317 0.5159 0.3387
```

* calculated total energy: -197.03 eV for the cell shown
* theoretical density: 10.1 Mg/m³
* uncorrected formation energy: -2.74 kcal/mol of atoms

This record from Alexandria via LeMat-Bulk describes a relaxed Ca3NdY3Se8 crystal. The functional is GGA-PBE.

Geometry as CIF:
```
data_Ca3NdY3Se8
_chemical_formula_sum 'Ca9 Nd3 Y9 Se24'
_cell_length_a 8.2451
_cell_length_b 8.2451
_cell_length_c 20.5316
_cell_angle_alpha 90.00
_cell_angle_beta 90.00
_cell_angle_gamma 120.00
_symmetry_space_group_name_H-M 'R -3 m'
_symmetry_Int_Tables_number 166
_symmetry_space_group_name_Hall '-R 3 2"'
loop_
_atom_site_label
_atom_site_type_symbol
_atom_site_fract_x
_atom_site_fract_y
_atom_site_fract_z
Ca1 Ca 0.0000 0.5000 0.0000
Nd1 Nd 0.0000 0.0000 0.5000
Y1 Y 0.0000 0.5000 0.5000
Se1 Se 0.0000 0.0000 0.2484
Se2 Se 0.0085 0.5042 0.7506
```

* calculated total energy: -260.27 eV for the cell shown
* theoretical density: 4.8 Mg/m³
* uncorrected formation energy: -44.15 kcal/mol of atoms

This record from Alexandria via LeMat-Bulk describes a relaxed MgPt2Rh crystal. The functional is GGA-PBE.

Geometry as CIF:
```
data_MgPt2Rh
_chemical_formula_sum 'Mg4 Pt8 Rh4'
_cell_length_a 3.828
_cell_length_b 3.828
_cell_length_c 18.393
_cell_angle_alpha 90.00
_cell_angle_beta 90.00
_cell_angle_gamma 90.00
_symmetry_space_group_name_H-M 'I -4 2 d'
_symmetry_Int_Tables_number 122
_symmetry_space_group_name_Hall 'I -4 2bw'
loop_
_atom_site_label
_atom_site_type_symbol
_atom_site_fract_x
_atom_site_fract_y
_atom_site_fract_z
Mg1 Mg 0.000 0.000 0.000
Pt1 Pt 0.244 0.250 0.625
Rh1 Rh 0.000 0.000 0.500
```

* calculated total energy: -85.50 eV for the cell shown
* ΔE_f: -87 meV/atom
* theoretical density: 12.8 Mg/m³

This record from Alexandria via LeMat-Bulk describes a relaxed LiPu2Cl8 crystal. The functional is GGA-PBE.

Geometry as CIF:
```
data_LiPu2Cl8
_chemical_formula_sum 'Li2 Pu4 Cl16'
_cell_length_a 19.425
_cell_length_b 3.727
_cell_length_c 8.934
_cell_angle_alpha 90.00
_cell_angle_beta 92.26
_cell_angle_gamma 90.00
_symmetry_space_group_name_H-M 'C 1 2/m 1'
_symmetry_Int_Tables_number 12
_symmetry_space_group_name_Hall '-C 2y'
loop_
_atom_site_label
_atom_site_type_symbol
_atom_site_fract_x
_atom_site_fract_y
_atom_site_fract_z
Li1 Li 0.000 0.000 0.000
Pu1 Pu 0.142 0.500 0.266
Cl1 Cl 0.007 0.500 0.196
Cl2 Cl 0.103 0.000 0.464
Cl3 Cl 0.133 0.000 0.036
Cl4 Cl 0.248 0.000 0.301
```

* polymorph energy (0 for the lowest one): 0 meV/atom
* calculated total energy: -129.13 eV for the cell shown
* theoretical density: 4.0 Mg/m³
* uncorrected formation energy: -40.28 kcal/mol of atoms

This record from Alexandria via LeMat-Bulk describes a relaxed Cr2SiSb crystal. The functional is GGA-PBE.

Geometry as CIF:
```
data_Cr2SiSb
_chemical_formula_sum 'Cr6 Si3 Sb3'
_cell_length_a 3.0650
_cell_length_b 3.0650
_cell_length_c 23.3566
_cell_angle_alpha 90.00
_cell_angle_beta 90.00
_cell_angle_gamma 120.00
_symmetry_space_group_name_H-M 'R 3 m'
_symmetry_Int_Tables_number 160
_symmetry_space_group_name_Hall 'R 3 -2"'
loop_
_atom_site_label
_atom_site_type_symbol
_atom_site_fract_x
_atom_site_fract_y
_atom_site_fract_z
Cr1 Cr 0.0000 0.0000 0.0000
Cr2 Cr 0.0000 0.0000 0.2626
Si1 Si 0.0000 0.0000 0.5232
Sb1 Sb 0.0000 0.0000 0.7558
```

* polymorph energy (0 for the lowest one): 259 meV/atom
* calculated total energy: -81.34 eV for the cell shown
* theoretical density: 6.7 Mg/m³
* uncorrected formation energy: 9.69 kcal/mol of atoms

no.,magnetization (μB/cell)
1,0.001
2,0.000
3,5.483
4,0.000
5,0.000
6,0.000
7,18.000
8,0.765